MgUIrAu: relaxed, PBE-GGA.

Values from the calculation:
Electronic total energy, eV per atom: -6.540

abc: 4.801 4.801 4.801
angles: 60.00 60.00 60.00
Site moments in Bohr magnetons follow the coordinates.
Sites, in units of the cell vectors:
Au (0.500, 0.500, 0.500)  -0.02
Mg (0.750, 0.750, 0.750)  0.00
Ir (0.000, 0.000, 0.000)  -0.19
U (0.250, 0.250, 0.250)  1.80